# 1
First-principles (PBE-GGA) data for an optimized crystal structure of La3Co3Au, as listed in Alexandria.

Properties
- Uncorrected energy: -5.87 eV per atom
- Space group: P6_3/m
- Energy of formation from the pure elements: -248 meV/atom

Cell lengths 9.5671, 9.5671, 4.0385 Å; angles 90.00, 90.00, 120.00 degrees
With the nearest neighbours (Å) after each atom.
Element x y z (fractional)
La: 0.0801 0.6963 0.2500  4 Co 2.78-3.05
La: 0.3037 0.3838 0.2500  4 Co 2.78-3.05
La: 0.3838 0.0801 0.7500  4 Co 2.78-3.05
La: 0.6162 0.9199 0.2500  4 Co 2.78-3.05
La: 0.6963 0.6162 0.7500  4 Co 2.78-3.05
La: 0.9199 0.3037 0.7500  4 Co 2.78-3.05
Co: 0.0182 0.8593 0.7500  6 Co 2.48-2.50
Co: 0.1407 0.1589 0.7500  6 Co 2.48-2.50
Co: 0.1589 0.0182 0.2500  6 Co 2.48-2.50
Co: 0.8411 0.9818 0.7500  6 Co 2.48-2.50
Co: 0.8593 0.8411 0.2500  6 Co 2.48-2.50
Co: 0.9818 0.1407 0.2500  6 Co 2.48-2.50
Au: 0.3333 0.6667 0.7500  6 La 3.27
Au: 0.6667 0.3333 0.2500  6 La 3.27

***

# 2
First-principles (PBE-GGA) data for an optimized crystal structure of La6CoAu2, as listed in Alexandria.

Properties
- Uncorrected energy: -5.22 eV per atom
- Space group: P2_1/c
- Energy of formation from the pure elements: -413 meV/atom

Cell lengths 7.0717, 7.5324, 12.3484 Å; angles 90.00, 121.02, 90.00 degrees
With the nearest neighbours (Å) after each atom.
Element x y z (fractional)
La: 0.1221 0.0281 0.2532  1 Co 2.79, 2 Au 3.10-3.12
La: 0.1221 0.4719 0.7532  1 Co 2.79, 2 Au 3.10-3.12
La: 0.2405 0.6914 0.0637  1 Co 2.75
La: 0.2405 0.8086 0.5637  1 Co 2.75
La: 0.3592 0.1916 0.0566  1 Co 2.68
La: 0.3592 0.3084 0.5566  1 Co 2.68
La: 0.6408 0.6916 0.4434  1 Co 2.68
La: 0.6408 0.8084 0.9434  1 Co 2.68
La: 0.7595 0.1914 0.4363  1 Co 2.75
La: 0.7595 0.3086 0.9363  1 Co 2.75
La: 0.8779 0.5281 0.2468  1 Co 2.79, 2 Au 3.10-3.12
La: 0.8779 0.9719 0.7468  1 Co 2.79, 2 Au 3.10-3.12
Co: 0.0000 0.0000 0.0000  6 La 2.68-2.79
Co: 0.0000 0.5000 0.5000  6 La 2.68-2.79
Au: 0.3166 0.0973 0.7677  6 La 3.09-3.20
Au: 0.3166 0.4027 0.2677  6 La 3.09-3.20
Au: 0.6834 0.5973 0.7323  6 La 3.09-3.20
Au: 0.6834 0.9027 0.2323  6 La 3.09-3.20

***

# 3
First-principles (PBE-GGA) data for an optimized crystal structure of LaCoAu2, as listed in Alexandria.

Properties
- Uncorrected energy: -4.90 eV per atom
- Space group: P2/m
- Energy of formation from the pure elements: -257 meV/atom

Cell lengths 4.4666, 4.2986, 4.9457 Å; angles 90.00, 114.60, 90.00 degrees
With the nearest neighbours (Å) after each atom.
Element x y z (fractional)
La: 0.0000 0.0000 0.0000  2 Co 2.55
Co: 0.5000 0.0000 0.5000  2 La 2.55, 4 Au 2.57
Au: 0.3373 0.5000 0.6902  2 Co 2.57, 3 Au 2.79-2.82
Au: 0.6627 0.5000 0.3098  2 Co 2.57, 3 Au 2.79-2.82

***

Question: What is the uncorrected energy in the third record?
Answer: -4.90 eV per atom